[1]
{"formula": "AcPuTa", "functional": "PBE", "state": "optimized geometry", "cell": [[0.0000, 3.4743, 3.4743], [3.4743, 0.0000, 3.4743], [3.4743, 3.4743, 0.0000]], "species": ["Pu", "Ac", "Ta"], "fractional_positions": [[0.0000, 0.0000, 0.0000], [0.2500, 0.2500, 0.2500], [0.7500, 0.7500, 0.7500]]}

---

[2]
{"formula": "AcPuTc", "functional": "PBE", "state": "optimized geometry", "cell": [[0.0000, 3.3306, 3.3306], [3.3306, 0.0000, 3.3306], [3.3306, 3.3306, 0.0000]], "species": ["Ac", "Pu", "Tc"], "fractional_positions": [[0.0000, 0.0000, 0.0000], [0.2500, 0.2500, 0.2500], [0.7500, 0.7500, 0.7500]], "e_above_lowest_polymorph_mev_per_atom": 252.9}

---

[3]
{"formula": "AcPuTc", "functional": "PBE", "state": "optimized geometry", "cell": [[0.0000, 3.3231, 3.3231], [3.3231, 0.0000, 3.3231], [3.3231, 3.3231, 0.0000]], "species": ["Ac", "Pu", "Tc"], "fractional_positions": [[0.2500, 0.2500, 0.2500], [0.0000, 0.0000, 0.0000], [0.7500, 0.7500, 0.7500]], "e_above_lowest_polymorph_mev_per_atom": 0.0}

---

Summary of calculated density in g cm⁻³
12.9 12.8 12.9
(order as listed above)
Summary of ΔH_f (0 K) in eV per atom
1.856 1.152 0.899
(order as listed above)